! TbTh2C PBE-GGA relaxed; values from VASP
&SYSTEM
  ibrav = 0, nat = 4, ntyp = 3
/
ATOMIC_SPECIES
C 12.01 C.upf
Th 232.04 Th.upf
Tb 158.93 Tb.upf
CELL_PARAMETERS angstrom
-2.8155 -2.2820 0.3576
3.1196 -0.6676 1.7597
-4.1894 6.1136 6.0023
ATOMIC_POSITIONS crystal
C 0.5850 0.9246 0.5523
Th 0.8647 0.4848 0.3916
Th 0.3048 0.3646 0.7129
Tb 0.0820 0.9250 0.0523
! Relative energy among the computed polymorphs, meV per atom: 0
! ΔE_f, eV per atom: -0.09

! CuIrAu PBE-GGA relaxed; values from VASP
&SYSTEM
  ibrav = 0, nat = 3, ntyp = 3
/
ATOMIC_SPECIES
Au 196.97 Au.upf
Ir 192.22 Ir.upf
Cu 63.55 Cu.upf
CELL_PARAMETERS angstrom
-2.5476 0.7939 -0.7796
0.9036 -2.5592 -0.6021
-2.4842 -2.2484 5.8287
ATOMIC_POSITIONS crystal
Au 0.0000 0.0000 0.0116
Ir 0.3333 0.6667 0.6477
Cu 0.6667 0.3333 0.3407
! Relative energy among the computed polymorphs, meV per atom: 147
! ΔE_f, eV per atom: 0.18

! Er2Pa3Co2 PBE-GGA relaxed; values from VASP
&SYSTEM
  ibrav = 0, nat = 7, ntyp = 3
/
ATOMIC_SPECIES
Co 58.93 Co.upf
Pa 231.04 Pa.upf
Er 167.26 Er.upf
CELL_PARAMETERS angstrom
3.4285 0.0000 0.9154
1.3388 5.3516 1.8639
-0.4621 0.3182 8.6093
ATOMIC_POSITIONS crystal
Co 0.1160 0.9787 0.7894
Co 0.8840 0.0213 0.2106
Pa 0.3789 0.8074 0.4347
Pa 0.6211 0.1926 0.5653
Pa 0.5000 0.0000 0.0000
Er 0.8348 0.5338 0.7966
Er 0.1652 0.4662 0.2034
! ΔE_f, eV per atom: -0.22

! Sm2InTe PBE-GGA relaxed; values from VASP
&SYSTEM
  ibrav = 0, nat = 4, ntyp = 3
/
ATOMIC_SPECIES
Te 127.60 Te.upf
Sm 150.36 Sm.upf
In 114.82 In.upf
CELL_PARAMETERS angstrom
-2.7051 -1.0594 2.3288
1.8657 -3.1358 0.7407
3.8899 3.7887 6.2418
ATOMIC_POSITIONS crystal
Te 0.5000 0.5000 0.0000
Sm 0.0000 0.0000 0.2402
Sm 0.0000 0.0000 0.7598
In 0.5000 0.5000 0.5000
! Relative energy among the computed polymorphs, meV per atom: 164

! CdSi2Os PBE-GGA relaxed; values from VASP
&SYSTEM
  ibrav = 0, nat = 4, ntyp = 3
/
ATOMIC_SPECIES
Cd 112.41 Cd.upf
Os 190.23 Os.upf
Si 28.09 Si.upf
CELL_PARAMETERS angstrom
-4.5203 1.8815 -3.5466
-4.3937 -3.5661 -2.1282
3.0966 2.7393 4.4112
ATOMIC_POSITIONS crystal
Cd 0.7500 0.2500 0.5000
Os 0.2500 0.7500 0.5000
Si 0.4420 0.4420 0.0000
Si 0.0580 0.0580 0.0000
! Energy, Ry per atom: -0.3942

! ZrInCl2 PBE-GGA relaxed; values from VASP
&SYSTEM
  ibrav = 0, nat = 4, ntyp = 3
/
ATOMIC_SPECIES
Zr 91.22 Zr.upf
In 114.82 In.upf
Cl 35.45 Cl.upf
CELL_PARAMETERS angstrom
3.5356 0.0085 0.0000
-2.1010 2.8437 0.0000
0.0000 0.0000 10.1915
ATOMIC_POSITIONS crystal
Zr 0.5000 0.5000 0.7500
In 0.5000 0.5000 0.2500
Cl 0.0000 0.0000 0.5497
Cl 0.0000 0.0000 0.9503
! Relative energy among the computed polymorphs, meV per atom: 175

! TlSiHg2 PBE-GGA relaxed; values from VASP
&SYSTEM
  ibrav = 0, nat = 4, ntyp = 3
/
ATOMIC_SPECIES
Tl 204.38 Tl.upf
Hg 200.59 Hg.upf
Si 28.09 Si.upf
CELL_PARAMETERS angstrom
3.3977 0.3954 0.0000
-1.0357 3.2601 0.0000
0.0000 0.0000 8.5560
ATOMIC_POSITIONS crystal
Tl 0.5000 0.5000 0.7500
Hg 0.0000 0.0000 0.0402
Hg 0.0000 0.0000 0.4598
Si 0.5000 0.5000 0.2500
! Energy, Ry per atom: -0.1304

! LaThS2 PBE-GGA relaxed; values from VASP
&SYSTEM
  ibrav = 0, nat = 8, ntyp = 3
/
ATOMIC_SPECIES
S 32.06 S.upf
Th 232.04 Th.upf
La 138.91 La.upf
CELL_PARAMETERS angstrom
4.0023 0.0000 0.0000
-2.0012 3.4661 0.0000
0.0000 0.0000 14.0910
ATOMIC_POSITIONS crystal
S 0.3333 0.6667 0.1265
S 0.3333 0.6667 0.3735
S 0.6667 0.3333 0.6265
S 0.6667 0.3333 0.8735
Th 0.6667 0.3333 0.2500
Th 0.3333 0.6667 0.7500
La 0.0000 0.0000 0.5000
La 0.0000 0.0000 0.0000
! Relative energy among the computed polymorphs, meV per atom: 47

! MgCo2Mo PBE-GGA relaxed; values from VASP
&SYSTEM
  ibrav = 0, nat = 4, ntyp = 3
/
ATOMIC_SPECIES
Co 58.93 Co.upf
Mo 95.94 Mo.upf
Mg 24.30 Mg.upf
CELL_PARAMETERS angstrom
-1.4974 3.5186 -1.7956
-1.4518 -0.1056 -3.9659
-4.1396 0.3942 -0.7451
ATOMIC_POSITIONS crystal
Co 0.2500 0.2500 0.2500
Co 0.0000 0.0000 0.0000
Mo 0.7500 0.7500 0.7500
Mg 0.5000 0.5000 0.5000
! ΔE_f, eV per atom: 0.39

! Mn2CoAs PBE-GGA relaxed; values from VASP
&SYSTEM
  ibrav = 0, nat = 4, ntyp = 3
/
ATOMIC_SPECIES
Mn 54.94 Mn.upf
Co 58.93 Co.upf
As 74.92 As.upf
CELL_PARAMETERS angstrom
-2.5660 3.6503 -0.1751
-2.3277 2.1469 3.1483
1.6198 3.0370 1.2577
ATOMIC_POSITIONS crystal
Mn 0.9999 0.9999 0.0001
Mn 0.7503 0.7503 0.7497
Co 0.2496 0.2496 0.2504
As 0.5002 0.5002 0.4998
! ΔE_f, eV per atom: -0.06

! Ca5Tl4Hg PBE-GGA relaxed; values from VASP
&SYSTEM
  ibrav = 0, nat = 10, ntyp = 3
/
ATOMIC_SPECIES
Ca 40.08 Ca.upf
Tl 204.38 Tl.upf
Hg 200.59 Hg.upf
CELL_PARAMETERS angstrom
3.8588 0.0000 0.0000
0.0000 3.8588 0.0000
0.0000 0.0000 19.4826
ATOMIC_POSITIONS crystal
Ca 0.5000 0.5000 0.7025
Ca 0.5000 0.5000 0.9048
Ca 0.5000 0.5000 0.0952
Ca 0.5000 0.5000 0.2975
Ca 0.5000 0.5000 0.5000
Tl 0.0000 0.0000 0.8023
Tl 0.0000 0.0000 0.6013
Tl 0.0000 0.0000 0.3987
Tl 0.0000 0.0000 0.1977
Hg 0.0000 0.0000 0.0000
! ΔE_f, eV per atom: -0.47

! Li2LaAlCu PBE-GGA relaxed; values from VASP
&SYSTEM
  ibrav = 0, nat = 5, ntyp = 4
/
ATOMIC_SPECIES
Al 26.98 Al.upf
La 138.91 La.upf
Li 6.94 Li.upf
Cu 63.55 Cu.upf
CELL_PARAMETERS angstrom
-2.9969 2.7848 -2.4070
-1.8331 -3.8208 -2.1381
-3.1310 -0.4124 3.4213
ATOMIC_POSITIONS crystal
Al 0.0000 0.0000 0.5000
La 0.5000 0.5000 0.5000
Li 0.5000 0.0000 0.0000
Li 0.0000 0.5000 0.0000
Cu 0.0000 0.0000 0.0000
! ΔE_f, eV per atom: -0.05